Below is crystalline NaHf3H at its relaxed geometry, with properties calculated at the PBE level.

DFT total energy   -6.5770 eV per atom
Mass density   10.2 g cm⁻³
Offset from the most stable computed form   0.0000 eV per atom

```
data_NaHf3H
_chemical_formula_sum 'Na1 Hf3 H1'
_space_group_name_H-M_alt 'P m -3 m'
_space_group_IT_number 221
_space_group_name_Hall '-P 4 2 3'
_cell_length_a 4.503
_cell_length_b 4.503
_cell_length_c 4.503
_cell_angle_alpha 90.00
_cell_angle_beta 90.00
_cell_angle_gamma 90.00
loop_
_atom_site_label
_atom_site_fract_x
_atom_site_fract_y
_atom_site_fract_z
Na1 0.000 0.000 0.000
Hf1 0.000 0.500 0.500
H1 0.500 0.500 0.500
```



Below is crystalline NdErAu6 at its relaxed geometry, with properties calculated at the PBE level.

DFT total energy   -4.2737 eV per atom
Energy of formation from the pure elements   -0.649 eV/atom
Mass density   14.7 g cm⁻³

```
data_NdErAu6
_chemical_formula_sum 'Nd2 Er2 Au12'
_space_group_name_H-M_alt 'C 1 2/m 1'
_space_group_IT_number 12
_cell_length_a 8.733
_cell_length_b 4.753
_cell_length_c 8.855
_cell_angle_alpha 90.00
_cell_angle_beta 113.75
_cell_angle_gamma 90.00
loop_
_space_group_symop_operation_xyz
'x,y,z'
'-x,-y,-z'
'-x,y,-z'
'x,-y,z'
'x+1/2,y+1/2,z'
'-x+1/2,-y+1/2,-z'
'-x+1/2,y+1/2,-z'
'x+1/2,-y+1/2,z'
loop_
_atom_site_label
_atom_site_fract_x
_atom_site_fract_y
_atom_site_fract_z
Nd1 0.000 0.000 0.000
Er1 0.000 0.500 0.500
Au1 0.118 0.500 0.860
Au2 0.130 0.000 0.382
Au3 0.246 0.000 0.750
```



Below is crystalline ScTeBr at its relaxed geometry, with properties calculated at the PBE level.

DFT total energy   -5.1127 eV per atom
Mass density   4.2 g cm⁻³
E_form (uncorrected)   -1.40 eV per atom

```
data_ScTeBr
_chemical_formula_sum 'Sc1 Te1 Br1'
_space_group_name_H-M_alt 'P 1'
_space_group_IT_number 1
_cell_length_a 4.012
_cell_length_b 4.012
_cell_length_c 7.595
_cell_angle_alpha 74.94
_cell_angle_beta 74.82
_cell_angle_gamma 60.00
loop_
_space_group_symop_operation_xyz
'x,y,z'
loop_
_atom_site_label
_atom_site_fract_x
_atom_site_fract_y
_atom_site_fract_z
Sc1 0.000 0.000 0.000
Te1 0.742 0.740 0.773
Br1 0.257 0.259 0.228
```



Below is crystalline CsRb2PuH6 at its relaxed geometry, with properties calculated at the PBE level.

DFT total energy   -3.7435 eV per atom
Mass density   3.6 g cm⁻³

```
data_CsRb2PuH6
_chemical_formula_sum 'Cs4 Rb8 Pu4 H24'
_space_group_name_H-M_alt 'F m -3 m'
_space_group_IT_number 225
_space_group_name_Hall '-F 4 2 3'
_cell_length_a 10.057
_cell_length_b 10.057
_cell_length_c 10.057
_cell_angle_alpha 90.00
_cell_angle_beta 90.00
_cell_angle_gamma 90.00
loop_
_atom_site_label
_atom_site_fract_x
_atom_site_fract_y
_atom_site_fract_z
Cs1 0.000 0.000 0.000
Rb1 0.250 0.250 0.250
Pu1 0.000 0.000 0.500
H1 0.000 0.000 0.280
```



Below is crystalline TaCu2Mo at its relaxed geometry, with properties calculated at the PBE level.

DFT total energy   -7.5969 eV per atom
Energy of formation from the pure elements   0.122 eV/atom
Mass density   11.5 g cm⁻³
Offset from the most stable computed form   0.0143 eV per atom

```
data_TaCu2Mo
_chemical_formula_sum 'Ta1 Cu2 Mo1'
_space_group_name_H-M_alt 'P 4 m m'
_space_group_IT_number 99
_cell_length_a 2.707
_cell_length_b 2.707
_cell_length_c 7.978
_cell_angle_alpha 90.00
_cell_angle_beta 90.00
_cell_angle_gamma 90.00
loop_
_space_group_symop_operation_xyz
'x,y,z'
'-y,x,z'
'-x,-y,z'
'y,-x,z'
'-x,y,z'
'y,x,z'
'x,-y,z'
'-y,-x,z'
loop_
_atom_site_label
_atom_site_fract_x
_atom_site_fract_y
_atom_site_fract_z
Ta1 0.000 0.000 0.000
Cu1 0.000 0.000 0.464
Cu2 0.500 0.500 0.251
Mo1 0.500 0.500 0.706
```



Below is crystalline V5Ru2Rh at its relaxed geometry, with properties calculated at the PBE level.

DFT total energy   -9.2110 eV per atom
Energy of formation from the pure elements   -0.274 eV/atom
Mass density   8.6 g cm⁻³

```
data_V5Ru2Rh
_chemical_formula_sum 'V10 Ru4 Rh2'
_space_group_name_H-M_alt 'I 4/m m m'
_space_group_IT_number 139
_space_group_name_Hall '-I 4 2'
_cell_length_a 6.018
_cell_length_b 6.018
_cell_length_c 5.998
_cell_angle_alpha 90.00
_cell_angle_beta 90.00
_cell_angle_gamma 90.00
loop_
_atom_site_label
_atom_site_fract_x
_atom_site_fract_y
_atom_site_fract_z
V1 0.000 0.000 0.000
V2 0.250 0.250 0.250
Ru1 0.000 0.500 0.000
Rh1 0.000 0.000 0.500
```